A) Entry from the Alexandria database: crystalline PrNdGePt at its relaxed geometry (PBE).

Cell lengths 4.157, 4.338, 6.004 Å; angles 90.00, 110.25, 90.00 degrees
Atoms (fractional coordinates):
Pr 0.141 0.000 0.282
Nd 0.864 0.500 0.728
Ge 0.577 0.500 0.155
Pt 0.417 0.000 0.834

Values from the calculation:
As for the density of states at the Fermi level: 0.505 states/eV/atom. Its symmetry is Amm2 (38).


B) Entry from the Alexandria database: crystalline PrNdGePt at its relaxed geometry (PBE).

Cell lengths 5.195, 5.195, 5.195 Å; angles 60.00, 60.00, 60.00 degrees
Atoms (fractional coordinates):
Pr 0.500 0.500 0.500
Ge 0.250 0.250 0.250
Nd 0.000 0.000 0.000
Pt 0.750 0.750 0.750

Values from the calculation:
As for the density of states at the Fermi level: 0.316 states/eV/atom. Its symmetry is F-43m (216).


Most stable to least stable, the ends of the list are A) and B).


A) Entry from the Alexandria database: crystalline PrNdGeRh at its relaxed geometry (PBE).

Cell lengths 5.148, 5.148, 5.148 Å; angles 60.00, 60.00, 60.00 degrees
Atoms (fractional coordinates):
Pr 0.000 0.000 0.000
Rh 0.750 0.750 0.750
Ge 0.250 0.250 0.250
Nd 0.500 0.500 0.500

Values from the calculation:
As for the density of states at the Fermi level: 0.768 states/eV/atom. Its symmetry is F-43m (216).


B) Entry from the Alexandria database: crystalline PrNdGeRh at its relaxed geometry (PBE).

Cell lengths 4.282, 4.245, 5.832 Å; angles 90.00, 111.54, 90.00 degrees
Atoms (fractional coordinates):
Pr 0.143 0.000 0.287
Nd 0.863 0.500 0.726
Ge 0.571 0.500 0.141
Rh 0.423 0.000 0.846

Values from the calculation:
As for the density of states at the Fermi level: 0.849 states/eV/atom. Its symmetry is Amm2 (38).


Most stable to least stable, the ends of the list are B) and A).


A) Entry from the Alexandria database: crystalline Nd2Ge3Pt5 at its relaxed geometry (PBE).

Cell lengths 5.859, 8.789, 8.789 Å; angles 70.04, 70.53, 70.53 degrees
Atoms (fractional coordinates):
Nd 0.133 0.636 0.099
Nd 0.633 0.099 0.636
Nd 0.867 0.364 0.901
Nd 0.367 0.901 0.364
Ge 0.391 0.462 0.756
Ge 0.891 0.756 0.462
Ge 0.609 0.538 0.244
Ge 0.109 0.244 0.538
Ge 0.250 0.000 0.000
Ge 0.750 0.000 0.000
Pt 0.372 0.242 0.015
Pt 0.872 0.015 0.242
Pt 0.628 0.758 0.985
Pt 0.128 0.985 0.758
Pt 0.531 0.719 0.719
Pt 0.469 0.281 0.281
Pt 0.750 0.500 0.500
Pt 0.250 0.500 0.500
Pt 0.969 0.281 0.281
Pt 0.031 0.719 0.719

Values from the calculation:
As for the density of states at the Fermi level: 0.409 states/eV/atom. Its symmetry is Ibam (72).


B) Entry from the Alexandria database: crystalline Nd2Ge3Pt5 at its relaxed geometry (PBE).

Cell lengths 4.276, 7.430, 12.521 Å; angles 90.00, 99.83, 90.00 degrees
Atoms (fractional coordinates):
Nd 0.460 0.632 0.920
Nd 0.168 0.863 0.336
Nd 0.832 0.363 0.664
Nd 0.540 0.132 0.080
Ge 0.765 0.889 0.531
Ge 0.624 0.432 0.248
Ge 0.039 0.815 0.079
Ge 0.235 0.389 0.469
Ge 0.961 0.315 0.921
Ge 0.376 0.932 0.752
Pt 0.413 0.239 0.827
Pt 0.291 0.674 0.582
Pt 0.709 0.174 0.418
Pt 0.138 0.257 0.276
Pt 0.285 0.086 0.570
Pt 0.953 0.977 0.906
Pt 0.715 0.586 0.430
Pt 0.862 0.757 0.724
Pt 0.047 0.477 0.094
Pt 0.587 0.739 0.173

Values from the calculation:
As for the density of states at the Fermi level: 0.392 states/eV/atom. Its symmetry is Cmc2_1 (36).


Most stable to least stable, the ends of the list are A) and B).